(i)
CuBi2F2: relaxed, PBE.

a b c (Å): 5.1189 5.1189 5.1088
angles (deg): 59.94 59.94 90.00
Closest atoms and distances in Å follow each position.
Element x y z (fractional)
Bi 0.7500 0.2500 0.5000  4 F 2.62
Bi 0.2500 0.7500 0.5000  4 F 2.62
F 0.6737 0.6737 0.6526  1 Cu 2.35, 1 F 2.50, 4 Bi 2.62
F 0.3263 0.3263 0.3474  1 Cu 2.35, 1 F 2.50, 4 Bi 2.62
Cu 0.0000 0.0000 0.0000  2 F 2.35

Properties
- Symmetry: I4/mmm (139)
- Volume: 94.5 Å³ per cell



(ii)
CuBi2F2: relaxed, PBE.

a b c (Å): 7.7648 7.7648 3.0197
angles (deg): 90.00 90.00 90.00
Closest atoms and distances in Å follow each position.
Element x y z (fractional)
F 0.6157 0.1157 0.0000  2 Bi 2.52, 1 F 2.54
F 0.1157 0.3843 0.0000  2 Bi 2.52, 1 F 2.54
F 0.8843 0.6157 0.0000  2 Bi 2.52, 1 F 2.54
F 0.3843 0.8843 0.0000  2 Bi 2.52, 1 F 2.54
Bi 0.2002 0.7002 0.5000  2 F 2.52
Bi 0.2998 0.2002 0.5000  2 F 2.52
Bi 0.7002 0.7998 0.5000  2 F 2.52
Bi 0.7998 0.2998 0.5000  2 F 2.52
Cu 0.0000 0.0000 0.0000  2 Cu 3.02, 4 F 3.12, 8 Bi 3.18
Cu 0.5000 0.5000 0.0000  2 Cu 3.02, 4 F 3.12, 8 Bi 3.18

Properties
- Symmetry: P4/mbm (127)
- Volume: 182.1 Å³ per cell



Quick one: most stable of them? (ii)



(i)
Cu2Bi2F: relaxed, PBE.

a b c (Å): 7.3280 7.3280 3.7259
angles (deg): 90.00 90.00 90.00
Closest atoms and distances in Å follow each position.
Element x y z (fractional)
Cu 0.8833 0.3833 0.5000  1 Cu 2.42
Cu 0.1167 0.6167 0.5000  1 Cu 2.42
Cu 0.3833 0.1167 0.5000  1 Cu 2.42
Cu 0.6167 0.8833 0.5000  1 Cu 2.42
Bi 0.6867 0.1867 0.0000  2 F 2.67, 6 Cu 2.76-2.95
Bi 0.3133 0.8133 0.0000  2 F 2.67, 6 Cu 2.76-2.95
Bi 0.1867 0.3133 0.0000  2 F 2.67, 6 Cu 2.76-2.95
Bi 0.8133 0.6867 0.0000  2 F 2.67, 6 Cu 2.76-2.95
F 0.0000 0.0000 0.0000  4 Bi 2.67
F 0.5000 0.5000 0.0000  4 Bi 2.67

Properties
- Symmetry: P4/mbm (127)
- Volume: 200.1 Å³ per cell



(ii)
Cu2Bi2F: relaxed, PBE.

a b c (Å): 3.4445 3.4445 8.4345
angles (deg): 78.22 78.22 90.00
Closest atoms and distances in Å follow each position.
Element x y z (fractional)
Bi 0.3933 0.3933 0.2133  4 Cu 2.89, 4 F 2.98
Bi 0.6067 0.6067 0.7867  4 Cu 2.89, 4 F 2.98
Cu 0.2500 0.7500 0.5000  4 Cu 2.44
Cu 0.7500 0.2500 0.5000  4 Cu 2.44
F 0.0000 0.0000 0.0000  8 Bi 2.98

Properties
- Symmetry: I4/mmm (139)
- Volume: 95.8 Å³ per cell



Quick one: most stable of them? (ii)



(i)
CuBiF2: relaxed, PBE.

a b c (Å): 7.2072 7.2072 7.2072
angles (deg): 27.20 27.20 27.20
Closest atoms and distances in Å follow each position.
Element x y z (fractional)
Cu 0.5000 0.5000 0.5000  6 F 2.23
Bi 0.0000 0.0000 0.0000  2 F 2.40
F 0.1155 0.1155 0.1155  3 Cu 2.23, 1 Bi 2.40
F 0.8845 0.8845 0.8845  3 Cu 2.23, 1 Bi 2.40

Properties
- Symmetry: R-3m (166)
- Volume: 69.0 Å³ per cell



(ii)
CuBiF2: relaxed, PBE.

a b c (Å): 5.7939 5.7939 5.8980
angles (deg): 60.58 60.58 90.00
Closest atoms and distances in Å follow each position.
Element x y z (fractional)
Bi 0.7500 0.2500 0.5000  4 F 2.66
Bi 0.0000 0.0000 0.0000  4 F 2.66
F 0.2136 0.6250 0.2500  2 Cu 2.02
F 0.5364 0.1250 0.2500  2 Cu 2.02
F 0.3750 0.4636 0.7500  2 Cu 2.02
F 0.8750 0.7864 0.7500  2 Cu 2.02
Cu 0.5000 0.5000 0.0000  4 F 2.02
Cu 0.2500 0.7500 0.5000  4 F 2.02

Properties
- Symmetry: I-42d (122)
- Volume: 142.4 Å³ per cell



(iii)
CuBiF2: relaxed, PBE.

a b c (Å): 4.3942 4.3942 4.3942
angles (deg): 60.00 60.00 60.00
Closest atoms and distances in Å follow each position.
Element x y z (fractional)
Bi 0.5000 0.5000 0.5000  8 F 2.69
Cu 0.0000 0.0000 0.0000  8 F 2.69
F 0.7500 0.7500 0.7500  4 Bi 2.69, 4 Cu 2.69
F 0.2500 0.2500 0.2500  4 Bi 2.69, 4 Cu 2.69

Properties
- Symmetry: Fm-3m (225)
- Volume: 60.0 Å³ per cell



Quick one: most stable of them? (i)



(i)
Cu2BiF8: relaxed, PBE.

a b c (Å): 5.5223 5.5223 6.5126
angles (deg): 115.09 115.09 90.00
Closest atoms and distances in Å follow each position.
Element x y z (fractional)
F 0.6891 0.2173 0.7465  1 Cu 1.85
F 0.3109 0.4707 0.2535  1 Cu 1.85
F 0.0575 0.5293 0.7465  1 Cu 1.85
F 0.4707 0.9425 0.2535  1 Cu 1.85
F 0.5293 0.6891 0.7465  1 Cu 1.85
F 0.2173 0.0575 0.7465  1 Cu 1.85
F 0.7827 0.3109 0.2535  1 Cu 1.85
F 0.9425 0.7827 0.2535  1 Cu 1.85
Cu 0.7500 0.2500 0.5000  4 F 1.85
Cu 0.2500 0.7500 0.5000  4 F 1.85
Bi 0.5000 0.5000 0.0000  8 F 2.35

Properties
- Symmetry: I422 (97)
- Volume: 158.9 Å³ per cell



(ii)
Cu2BiF8: relaxed, PBE.

a b c (Å): 3.8916 6.7717 6.7713
angles (deg): 120.01 90.00 90.00
Closest atoms and distances in Å follow each position.
Element x y z (fractional)
F 0.7366 0.8321 0.1664  1 Cu 1.95
F 0.7610 0.3333 0.6667  2 Cu 1.94-1.95
F 0.2634 0.1679 0.8336  1 Cu 1.95
F 0.2390 0.6667 0.3333  2 Cu 1.94-1.95
F 0.7365 0.8336 0.6656  1 Cu 1.95
F 0.2635 0.1664 0.3344  1 Cu 1.95
F 0.2635 0.6656 0.8320  1 Cu 1.95
F 0.7365 0.3344 0.1680  1 Cu 1.95
Bi 0.0000 0.0000 0.0000  6 F 2.21
Cu 0.7377 0.6667 0.3333  5 F 1.94-1.95
Cu 0.2623 0.3333 0.6667  5 F 1.94-1.95

Properties
- Symmetry: P-3 (147)
- Volume: 154.5 Å³ per cell



Quick one: most stable of them? (i)



(i)
FeCuBi2: relaxed, PBE.

a b c (Å): 6.3758 6.3758 6.8862
angles (deg): 62.42 62.42 90.00
Closest atoms and distances in Å follow each position.
Element x y z (fractional)
Bi 0.1441 0.6250 0.2500  2 Fe 2.53, 2 Cu 2.68
Bi 0.6059 0.1250 0.2500  2 Fe 2.53, 2 Cu 2.68
Bi 0.3750 0.3941 0.7500  2 Fe 2.53, 2 Cu 2.68
Bi 0.8750 0.8559 0.7500  2 Fe 2.53, 2 Cu 2.68
Fe 0.5000 0.5000 0.0000  4 Bi 2.53
Fe 0.2500 0.7500 0.5000  4 Bi 2.53
Cu 0.0000 0.0000 0.0000  4 Bi 2.68
Cu 0.7500 0.2500 0.5000  4 Bi 2.68

Properties
- Symmetry: I-42d (122)
- Volume: 211.6 Å³ per cell



(ii)
FeCuBi2: relaxed, PBE.

a b c (Å): 4.9145 4.9145 4.9145
angles (deg): 60.00 60.00 60.00
Closest atoms and distances in Å follow each position.
Element x y z (fractional)
Bi 0.2500 0.2500 0.2500  4 Fe 3.01, 4 Cu 3.01
Bi 0.7500 0.7500 0.7500  4 Fe 3.01, 4 Cu 3.01
Fe 0.0000 0.0000 0.0000  8 Bi 3.01
Cu 0.5000 0.5000 0.5000  8 Bi 3.01

Properties
- Symmetry: Fm-3m (225)
- Volume: 83.9 Å³ per cell



Quick one: most stable of them? (ii)



(i)
CuGeBi: relaxed, PBE.

a b c (Å): 4.5594 4.5594 4.5594
angles (deg): 60.00 60.00 60.00
Closest atoms and distances in Å follow each position.
Element x y z (fractional)
Ge 0.5000 0.5000 0.5000  4 Cu 2.79
Cu 0.2500 0.2500 0.2500  4 Ge 2.79, 4 Bi 2.79
Bi 0.0000 0.0000 0.0000  4 Cu 2.79

Properties
- Symmetry: F-43m (216)
- Volume: 67.0 Å³ per cell



(ii)
CuGeBi: relaxed, PBE.

a b c (Å): 4.3279 4.1798 4.1798
angles (deg): 120.00 90.00 90.00
Closest atoms and distances in Å follow each position.
Element x y z (fractional)
Cu 0.0878 0.0000 0.0000  3 Ge 2.46
Bi 0.7170 0.3333 0.6667  3 Cu 2.90, 3 Ge 3.18
Ge 0.1952 0.6667 0.3333  3 Cu 2.46

Properties
- Symmetry: P3m1 (156)
- Volume: 65.5 Å³ per cell



(iii)
CuGeBi: relaxed, PBE.

a b c (Å): 5.9846 5.9846 7.8588
angles (deg): 90.00 90.00 90.00
Closest atoms and distances in Å follow each position.
Element x y z (fractional)
Bi 0.2665 0.7335 0.7500  3 Cu 2.74-2.83
Bi 0.7335 0.2665 0.2500  3 Cu 2.74-2.83
Bi 0.2335 0.2335 0.5000  3 Cu 2.74-2.83
Bi 0.7665 0.7665 0.0000  3 Cu 2.74-2.83
Ge 0.6653 0.3347 0.7500  3 Cu 2.35-2.46
Ge 0.1653 0.1653 0.0000  3 Cu 2.35-2.46
Ge 0.3347 0.6653 0.2500  3 Cu 2.35-2.46
Ge 0.8347 0.8347 0.5000  3 Cu 2.35-2.46
Cu 0.9427 0.0573 0.7500  3 Ge 2.35-2.46
Cu 0.5573 0.5573 0.5000  3 Ge 2.35-2.46
Cu 0.4427 0.4427 0.0000  3 Ge 2.35-2.46
Cu 0.0573 0.9427 0.2500  3 Ge 2.35-2.46

Properties
- Symmetry: P4_12_12 (92)
- Volume: 281.5 Å³ per cell



Quick one: most stable of them? (i)



(i)
Cu3GeBi: relaxed, PBE.

a b c (Å): 4.9582 4.9582 4.9582
angles (deg): 90.00 90.00 90.00
Closest atoms and distances in Å follow each position.
Element x y z (fractional)
Ge 0.5000 0.5000 0.5000  12 Cu 3.51
Cu 0.5000 0.0000 0.0000  2 Bi 2.48
Cu 0.0000 0.5000 0.0000  2 Bi 2.48
Cu 0.0000 0.0000 0.5000  2 Bi 2.48
Bi 0.0000 0.0000 0.0000  6 Cu 2.48

Properties
- Symmetry: Pm-3m (221)
- Volume: 121.9 Å³ per cell



(ii)
Cu3GeBi: relaxed, PBE.

a b c (Å): 4.5978 4.5978 4.5978
angles (deg): 90.00 90.00 90.00
Closest atoms and distances in Å follow each position.
Element x y z (fractional)
Cu 0.0000 0.0000 0.5000  2 Ge 2.30
Cu 0.0000 0.5000 0.0000  2 Ge 2.30
Cu 0.5000 0.0000 0.0000  2 Ge 2.30
Bi 0.5000 0.5000 0.5000  12 Cu 3.25
Ge 0.0000 0.0000 0.0000  6 Cu 2.30

Properties
- Symmetry: Pm-3m (221)
- Volume: 97.2 Å³ per cell



Quick one: most stable of them? (ii)



(i)
Cu2SnGeBi: relaxed, PBE.

a b c (Å): 4.7946 6.0850 4.7946
angles (deg): 90.00 90.00 90.00
Closest atoms and distances in Å follow each position.
Element x y z (fractional)
Sn 0.0000 0.0000 0.0000  4 Cu 2.40
Ge 0.5000 0.5000 0.5000  4 Bi 3.39
Bi 0.0000 0.5000 0.0000  2 Sn 3.04, 4 Ge 3.39
Cu 0.0000 0.0000 0.5000  2 Sn 2.40
Cu 0.5000 0.0000 0.0000  2 Sn 2.40

Properties
- Symmetry: P4/mmm (123)
- Volume: 139.9 Å³ per cell



(ii)
Cu2SnGeBi: relaxed, PBE.

a b c (Å): 4.8120 5.7881 4.8120
angles (deg): 90.00 90.00 90.00
Closest atoms and distances in Å follow each position.
Element x y z (fractional)
Ge 0.0000 0.5000 0.0000  2 Bi 2.89
Sn 0.5000 0.5000 0.5000  4 Ge 3.40, 8 Cu 3.76
Cu 0.0000 0.0000 0.5000  2 Bi 2.41
Cu 0.5000 0.0000 0.0000  2 Bi 2.41
Bi 0.0000 0.0000 0.0000  4 Cu 2.41

Properties
- Symmetry: P4/mmm (123)
- Volume: 134.0 Å³ per cell



Quick one: most stable of them? (i)